K2YBe GGA-PBE relaxed; total magnetic moment = 0.23 μB/cell; SG = P4/mmm (123); energy = -2.208 eV/atom
1.0
3.5067 0.0000 0.0000
0.0000 3.5067 0.0000
0.0000 0.0000 11.9629
K Y Be
2 1 1
direct
0.0000 0.0000 0.2017 K
0.0000 0.0000 0.7983 K
0.5000 0.5000 0.5000 Y
0.5000 0.5000 0.0000 Be